This record from Alexandria describes a geometry-optimized Ac2UCrO6 structure. The functional is GGA+U.

## Properties
ρ = 8.63 Mg/m³
N(E_F) = 0.44 states/eV per atom
electronic total energy = -8.586 eV per atom
symmetry = C2/m, No. 12

```
Ac2UCrO6
1.0
-4.541 -1.561 3.277
0.804 -5.697 -1.599
0.942 -4.053 4.530
O Ac Cr U
6 2 1 1
Cartesian
-2.269 -6.823 3.916
-2.830 -2.592 2.636
-0.509 -1.795 0.961
-2.286 -9.517 5.247
-0.526 -4.489 2.293
0.035 -8.719 3.573
-2.722 -4.463 4.414
-0.073 -6.849 1.794
0.000 0.000 0.000
-1.868 -3.629 0.839
```